(1)
The following is a PBE-GGA calculation of a relaxed structure of ErBMo, from Alexandria.

Calculated values
DFT formation energy = 0.1 eV per formula unit

Lattice parameters (Å, degrees): 9.9132 9.2617 4.8576 82.91 67.99 29.10
Element x y z (fractional)
1 Er 0.0390 0.7110 0.0390
2 Er 0.2890 0.9610 0.2890
3 Er 0.7110 0.0390 0.7110
4 Er 0.9610 0.2890 0.9610
5 B 0.0005 0.0005 0.2495
6 B 0.9995 0.9995 0.7505
7 B 0.2495 0.2495 0.0005
8 B 0.7505 0.7505 0.9995
9 Mo 0.2879 0.2879 0.4621
10 Mo 0.4621 0.4621 0.2879
11 Mo 0.5379 0.5379 0.7121
12 Mo 0.7121 0.7121 0.5379



(2)
The following is a PBE-GGA calculation of a relaxed structure of ErB2Mo, from Alexandria.

Calculated values
DFT formation energy = -0.6 eV per formula unit

Lattice parameters (Å, degrees): 5.9671 5.9671 5.9671 32.73 32.73 32.73
Element x y z (fractional)
1 Er 0.0000 0.0000 0.0000
2 B 0.2345 0.2345 0.2345
3 B 0.7655 0.7655 0.7655
4 Mo 0.5000 0.5000 0.5000



(3)
The following is a PBE-GGA calculation of a relaxed structure of Er2B2MoRu5, from Alexandria.

Calculated values
DFT formation energy = -4.5 eV per formula unit

Lattice parameters (Å, degrees): 9.6121 9.6121 3.0955 90.00 90.00 90.00
Element x y z (fractional)
1 Er 0.1755 0.3245 0.0000
2 Er 0.3245 0.8245 0.0000
3 Er 0.6755 0.1755 0.0000
4 Er 0.8245 0.6755 0.0000
5 B 0.1199 0.6199 0.0000
6 B 0.3801 0.1199 0.0000
7 B 0.6199 0.8801 0.0000
8 B 0.8801 0.3801 0.0000
9 Mo 0.0000 0.0000 0.0000
10 Mo 0.5000 0.5000 0.0000
11 Ru 0.0000 0.5000 0.5000
12 Ru 0.0694 0.7842 0.5000
13 Ru 0.2158 0.0694 0.5000
14 Ru 0.2842 0.5694 0.5000
15 Ru 0.4306 0.2842 0.5000
16 Ru 0.5000 0.0000 0.5000
17 Ru 0.5694 0.7158 0.5000
18 Ru 0.7158 0.4306 0.5000
19 Ru 0.7842 0.9306 0.5000
20 Ru 0.9306 0.2158 0.5000



(4)
The following is a PBE-GGA calculation of a relaxed structure of ErB3N3, from Alexandria.

Calculated values
Energy relative to the elements, uncorrected = 0.24 eV per atom

Lattice parameters (Å, degrees): 4.7856 4.7856 4.7856 90.00 90.00 90.00
Element x y z (fractional)
1 Er 0.0000 0.0000 0.0000
2 Er 0.5000 0.5000 0.5000
3 B 0.0000 0.2500 0.5000
4 B 0.0000 0.7500 0.5000
5 B 0.2500 0.5000 0.0000
6 B 0.5000 0.0000 0.2500
7 B 0.5000 0.0000 0.7500
8 B 0.7500 0.5000 0.0000
9 N 0.0000 0.5000 0.2500
10 N 0.0000 0.5000 0.7500
11 N 0.2500 0.0000 0.5000
12 N 0.5000 0.2500 0.0000
13 N 0.5000 0.7500 0.0000
14 N 0.7500 0.0000 0.5000



(5)
The following is a PBE-GGA calculation of a relaxed structure of Nd3ErB2N6, from Alexandria.

Calculated values
Energy relative to the elements, uncorrected = -1.19 eV per atom

Lattice parameters (Å, degrees): 5.6087 5.6087 6.3294 90.00 90.00 120.00
Element x y z (fractional)
1 Nd 0.0000 0.0000 0.0000
2 Nd 0.3333 0.6667 0.6617
3 Nd 0.6667 0.3333 0.3383
4 Er 0.0000 0.0000 0.5000
5 B 0.3333 0.6667 0.2494
6 B 0.6667 0.3333 0.7506
7 N 0.1842 0.3684 0.2757
8 N 0.1842 0.8158 0.2757
9 N 0.3684 0.1842 0.7243
10 N 0.6316 0.8158 0.2757
11 N 0.8158 0.1842 0.7243
12 N 0.8158 0.6316 0.7243



(6)
The following is a PBE-GGA calculation of a relaxed structure of Pm3ErB2N6, from Alexandria.

Calculated values
Energy relative to the elements, uncorrected = -1.20 eV per atom

Lattice parameters (Å, degrees): 5.5894 5.5894 6.2777 90.00 90.00 120.00
Element x y z (fractional)
1 Pm 0.0000 0.0000 0.0000
2 Pm 0.3333 0.6667 0.6610
3 Pm 0.6667 0.3333 0.3390
4 Er 0.0000 0.0000 0.5000
5 B 0.3333 0.6667 0.2474
6 B 0.6667 0.3333 0.7526
7 N 0.1840 0.3679 0.2741
8 N 0.1840 0.8160 0.2741
9 N 0.3679 0.1840 0.7259
10 N 0.6321 0.8160 0.2741
11 N 0.8160 0.1840 0.7259
12 N 0.8160 0.6321 0.7259



(7)
The following is a PBE-GGA calculation of a relaxed structure of Sm3ErB2N6, from Alexandria.

Calculated values
Energy relative to the elements, uncorrected = -1.19 eV per atom

Lattice parameters (Å, degrees): 5.5765 5.5765 6.2450 90.00 90.00 120.00
Element x y z (fractional)
1 Sm 0.0000 0.0000 0.0000
2 Sm 0.3333 0.6667 0.6605
3 Sm 0.6667 0.3333 0.3395
4 Er 0.0000 0.0000 0.5000
5 B 0.3333 0.6667 0.2461
6 B 0.6667 0.3333 0.7539
7 N 0.1838 0.3676 0.2731
8 N 0.1838 0.8162 0.2731
9 N 0.3676 0.1838 0.7269
10 N 0.6324 0.8162 0.2731
11 N 0.8162 0.1838 0.7269
12 N 0.8162 0.6324 0.7269



(8)
The following is a PBE-GGA calculation of a relaxed structure of NaErB12, from Alexandria.

Calculated values
DFT formation energy = -3.8 eV per formula unit

Lattice parameters (Å, degrees): 4.1237 4.1237 8.2553 90.00 90.00 90.00
Element x y z (fractional)
1 Na 0.0000 0.0000 0.0000
2 Er 0.0000 0.0000 0.5000
3 B 0.2005 0.5000 0.2534
4 B 0.2005 0.5000 0.7466
5 B 0.5000 0.2005 0.2534
6 B 0.5000 0.2005 0.7466
7 B 0.5000 0.5000 0.1018
8 B 0.5000 0.5000 0.4014
9 B 0.5000 0.5000 0.5986
10 B 0.5000 0.5000 0.8982
11 B 0.5000 0.7995 0.2534
12 B 0.5000 0.7995 0.7466
13 B 0.7995 0.5000 0.2534
14 B 0.7995 0.5000 0.7466



(9)
The following is a PBE-GGA calculation of a relaxed structure of Na2Er2B2TeO10, from Alexandria.

Calculated values
Energy relative to the elements, uncorrected = -2.45 eV per atom

Lattice parameters (Å, degrees): 6.3348 9.9779 6.7599 90.00 103.45 90.00
Element x y z (fractional)
1 Na 0.0856 0.1119 0.1698
2 Na 0.0856 0.3881 0.6698
3 Na 0.9144 0.6119 0.3302
4 Na 0.9144 0.8881 0.8302
5 Er 0.3737 0.6659 0.9774
6 Er 0.3737 0.8341 0.4774
7 Er 0.6263 0.1659 0.5226
8 Er 0.6263 0.3341 0.0226
9 B 0.1625 0.0992 0.6302
10 B 0.1625 0.4008 0.1302
11 B 0.8375 0.5992 0.8698
12 B 0.8375 0.9008 0.3698
13 Te 0.5000 0.0000 0.0000
14 Te 0.5000 0.5000 0.5000
15 O 0.0212 0.6708 0.9424
16 O 0.0212 0.8292 0.4424
17 O 0.2072 0.0615 0.8393
18 O 0.2072 0.4385 0.3393
19 O 0.3026 0.0615 0.5116
20 O 0.3026 0.4385 0.0116
21 O 0.3390 0.6178 0.6374
22 O 0.3390 0.8822 0.1374
23 O 0.4949 0.1513 0.1788
24 O 0.4949 0.3487 0.6788
25 O 0.5051 0.6513 0.3212
26 O 0.5051 0.8487 0.8212
27 O 0.6610 0.1178 0.8626
28 O 0.6610 0.3822 0.3626
29 O 0.6974 0.5615 0.9884
30 O 0.6974 0.9385 0.4884
31 O 0.7928 0.5615 0.6607
32 O 0.7928 0.9385 0.1607
33 O 0.9788 0.1708 0.5576
34 O 0.9788 0.3292 0.0576



(10)
The following is a PBE-GGA calculation of a relaxed structure of ErNbB2, from Alexandria.

Calculated values
DFT formation energy = -0.7 eV per formula unit

Lattice parameters (Å, degrees): 6.1425 6.1425 6.1425 32.46 32.46 32.46
Element x y z (fractional)
1 Er 0.0000 0.0000 0.0000
2 Nb 0.5000 0.5000 0.5000
3 B 0.2364 0.2364 0.2364
4 B 0.7636 0.7636 0.7636



(11)
The following is a PBE-GGA calculation of a relaxed structure of ErNb2B6, from Alexandria.

Calculated values
DFT formation energy = -4.6 eV per formula unit

Lattice parameters (Å, degrees): 5.8301 5.8301 5.8301 148.09 102.46 86.30
Element x y z (fractional)
1 Er 0.0000 0.0000 0.0000
2 Nb 0.3393 0.8393 0.5000
3 Nb 0.6607 0.1607 0.5000
4 B 0.0668 0.3036 0.7632
5 B 0.3402 0.5000 0.8402
6 B 0.4596 0.6964 0.7632
7 B 0.5404 0.3036 0.2368
8 B 0.6598 0.5000 0.1598
9 B 0.9332 0.6964 0.2368



(12)
The following is a PBE-GGA calculation of a relaxed structure of ErNb2B6, from Alexandria.

Calculated values
DFT formation energy = -6.6 eV per formula unit

Lattice parameters (Å, degrees): 5.4567 5.4567 3.4796 90.00 90.00 120.00
Element x y z (fractional)
1 Er 0.0000 0.0000 0.0000
2 Nb 0.3333 0.6667 0.0000
3 Nb 0.6667 0.3333 0.0000
4 B 0.0000 0.3379 0.5000
5 B 0.0000 0.6621 0.5000
6 B 0.3379 0.0000 0.5000
7 B 0.3379 0.3379 0.5000
8 B 0.6621 0.0000 0.5000
9 B 0.6621 0.6621 0.5000